Below is a relaxed LiTaBe crystal, with properties calculated at the GGA-PBEsol level.

abc: 4.1075 4.1075 2.6326
angles: 90.00 90.00 120.00
Atoms (fractional coordinates):
Li 0.0000 0.0000 0.0000
Ta 0.3333 0.6667 0.5475
Be 0.6667 0.3333 0.0985

Computed properties:
- M_tot (μB per formula unit) = 0.00
- formation enthalpy at 0 K (eV per atom) = 0.436
- DFT total energy (eV for the cell shown) = -17.2

***

Below is a relaxed ScMoOs2 crystal, with properties calculated at the GGA-PBEsol level.

abc: 2.7270 2.7270 9.0245
angles: 90.00 90.00 113.18
Atoms (fractional coordinates):
Sc 0.0000 0.0000 0.0000
Mo 0.5000 0.5000 0.2685
Os 0.0000 0.0000 0.5061
Os 0.5000 0.5000 0.7549

Computed properties:
- M_tot (μB per formula unit) = 0.00
- formation enthalpy at 0 K (eV per atom) = 0.334
- DFT total energy (eV for the cell shown) = -41.5